ScMo2 after structural relaxation, computed with PBE.

abc: 4.8437 4.8437 2.6479
angles: 90.00 90.00 90.00
Space group P4/mmm (No. 123)
Symmetry-distinct sites (fractional):
Sc 0.0000 0.0000 0.0000 [1 per cell]
Mo 0.0000 0.5000 0.5000 [2 per cell]

Properties
N(E_F): 1.354 states/eV/atom
V: 20.71 Å³/atom
crystal system: tetragonal
E_form: 1.411 eV per atom

---

ScMo2 after structural relaxation, computed with PBE.

abc: 8.2133 8.2133 2.6631
angles: 90.00 90.00 120.00
Space group P-62m (No. 189)
Symmetry-distinct sites (fractional):
Sc 0.0000 0.0000 0.0000 [1 per cell]
Sc 0.3333 0.6667 0.5000 [2 per cell]
Mo 0.0000 0.3338 0.5000 [3 per cell]
Mo 0.0000 0.6667 0.0000 [3 per cell]

Properties
N(E_F): 1.204 states/eV/atom
V: 17.29 Å³/atom
crystal system: hexagonal
E_form: 0.376 eV per atom

---

Sc5Mo after structural relaxation, computed with PBE.

abc: 5.0221 3.1726 16.6380
angles: 90.00 90.00 90.00
Space group Amm2 (No. 38)
Symmetry-distinct sites (fractional):
Sc 0.0000 0.0000 0.0000 [2 per cell]
Sc 0.0000 0.0000 0.3072 [2 per cell]
Sc 0.5000 0.0000 0.1005 [2 per cell]
Sc 0.5000 0.0000 0.4263 [2 per cell]
Sc 0.5000 0.0000 0.7563 [2 per cell]
Mo 0.0000 0.0000 0.6540 [2 per cell]

Properties
N(E_F): 1.370 states/eV/atom
V: 22.09 Å³/atom
crystal system: orthorhombic
excess energy over the best structure of this formula in the dataset: 0.031 eV per atom
E_form: 0.109 eV per atom

---

Sc3Mo after structural relaxation, computed with PBE.

abc: 4.8715 6.2691 5.4393
angles: 90.00 90.00 90.00
Space group Pmmn (No. 59, origin choice 2)
Symmetry-distinct sites (fractional):
Sc 0.2500 0.0029 0.1717 [4 per cell]
Sc 0.2500 0.2500 0.6528 [2 per cell]
Mo 0.2500 0.7500 0.6906 [2 per cell]

Properties
N(E_F): 0.819 states/eV/atom
V: 20.76 Å³/atom
crystal system: orthorhombic
excess energy over the best structure of this formula in the dataset: 0.022 eV per atom
E_form: 0.087 eV per atom

---

Sc3Mo after structural relaxation, computed with PBE.

abc: 6.1282 8.7983 3.0700
angles: 90.00 90.00 90.00
Space group Cmmm (No. 65)
Symmetry-distinct sites (fractional):
Sc 0.0000 0.0000 0.0000 [2 per cell]
Sc 0.2500 0.2500 0.5000 [4 per cell]
Mo 0.0000 0.5000 0.0000 [2 per cell]

Properties
N(E_F): 1.398 states/eV/atom
V: 20.69 Å³/atom
crystal system: orthorhombic
excess energy over the best structure of this formula in the dataset: 0.147 eV per atom
E_form: 0.212 eV per atom

---

Sc3Mo5 after structural relaxation, computed with PBE.

abc: 6.5840 9.0446 4.7350
angles: 90.00 90.00 90.00
Space group Cmmm (No. 65)
Symmetry-distinct sites (fractional):
Sc 0.0000 0.0000 0.0000 [2 per cell]
Sc 0.0000 0.2351 0.5000 [4 per cell]
Mo 0.0000 0.5000 0.0000 [2 per cell]
Mo 0.2051 0.5000 0.5000 [4 per cell]
Mo 0.2500 0.2500 0.0000 [4 per cell]

Properties
N(E_F): 1.469 states/eV/atom
V: 17.62 Å³/atom
crystal system: orthorhombic
excess energy over the best structure of this formula in the dataset: 0.000 eV per atom
E_form: 0.221 eV per atom

---

Calculated ρ (g cm⁻³), listed in the same order as above: 6.33; 7.58; 4.02; 4.61; 4.63; 7.24